Record 1
! YBeI3 (PBE-GGA, relaxed); values from VASP
! Space group   Pm-3m (221)
! DOS at the Fermi energy   0.000 states/eV/atom
! Total moment   0.000 μB/atom
! Crystal system   cubic
! Uncorrected formation energy   -28.2 kJ/mol of atoms
&SYSTEM
  ibrav = 0, nat = 5, ntyp = 3
/
ATOMIC_SPECIES
I 126.90 I.upf
Y 88.91 Y.upf
Be 9.01 Be.upf
ATOMIC_POSITIONS angstrom
I 0.000 3.019 0.000
I 0.000 0.000 3.019
I 3.019 0.000 0.000
Y 0.000 0.000 0.000
Be 3.019 3.019 3.019
CELL_PARAMETERS angstrom
6.038 0.000 0.000
0.000 6.038 0.000
0.000 0.000 6.038


Record 2
! YBe3I (PBE-GGA, relaxed); values from VASP
! Space group   Pm-3m (221)
! DOS at the Fermi energy   0.618 states/eV/atom
! Total moment   0.000 μB/atom
! Crystal system   cubic
! Uncorrected formation energy   161.1 kJ/mol of atoms
&SYSTEM
  ibrav = 0, nat = 5, ntyp = 3
/
ATOMIC_SPECIES
I 126.90 I.upf
Y 88.91 Y.upf
Be 9.01 Be.upf
ATOMIC_POSITIONS angstrom
I -0.110 -3.214 -3.462
Y 0.000 0.000 0.000
Be 1.768 -0.144 -2.073
Be 0.191 -2.699 0.350
Be -2.069 -0.372 -1.739
CELL_PARAMETERS angstrom
-4.138 -0.744 -3.477
3.535 -0.287 -4.146
0.382 -5.398 0.700


Record 3
! BeZn3I (PBE-GGA, relaxed); values from VASP
! Space group   Pm-3m (221)
! DOS at the Fermi energy   0.588 states/eV/atom
! Total moment   0.000 μB/atom
! Crystal system   cubic
! Uncorrected formation energy   28.0 kJ/mol of atoms
&SYSTEM
  ibrav = 0, nat = 5, ntyp = 3
/
ATOMIC_SPECIES
I 126.90 I.upf
Be 9.01 Be.upf
Zn 65.41 Zn.upf
ATOMIC_POSITIONS angstrom
I 2.362 2.362 2.362
Be 0.000 0.000 0.000
Zn 0.000 2.362 0.000
Zn 0.000 0.000 2.362
Zn 2.362 0.000 0.000
CELL_PARAMETERS angstrom
4.724 0.000 0.000
0.000 4.724 0.000
0.000 0.000 4.724